Record 1
The following is a GGA-PBE calculation of an optimized crystal structure of Ca3Ge, from Alexandria via LeMat-Bulk. Values from VASP.

Calculated values
E_form	-33.2	kJ per mole of atoms
density	2.43	g/cm3
total magnetization	0.000	μB/atom
energy above the most stable polymorph in this dataset	52	meV/atom

The structure in Quantum ESPRESSO input format:
```
&SYSTEM
  ibrav = 0, nat = 8, ntyp = 2
/
ATOMIC_SPECIES
Ca 40.08 Ca.upf
Ge 72.64 Ge.upf
ATOMIC_POSITIONS angstrom
Ca 1.666 3.018 1.592
Ca 3.845 7.651 6.161
Ca 3.513 5.677 3.159
Ca 4.884 2.448 3.897
Ca 4.552 0.474 0.895
Ca 6.731 5.107 5.464
Ge 3.656 4.455 6.012
Ge 4.740 3.670 1.044
CELL_PARAMETERS angstrom
6.137 0.000 0.000
1.736 6.083 0.000
0.524 2.042 7.056
```

Record 2
The following is a GGA-PBE calculation of an optimized crystal structure of Ca3Ge, from Alexandria via LeMat-Bulk. Values from VASP.

Calculated values
E_form	-31.7	kJ per mole of atoms
density	2.52	g/cm3
total magnetization	0.040	μB/atom
energy above the most stable polymorph in this dataset	67	meV/atom

The structure in Quantum ESPRESSO input format:
```
&SYSTEM
  ibrav = 0, nat = 16, ntyp = 2
/
ATOMIC_SPECIES
Ca 40.08 Ca.upf
Ge 72.64 Ge.upf
ATOMIC_POSITIONS angstrom
Ca 0.000 0.000 0.000
Ca -2.823 0.000 3.863
Ca -0.648 2.631 2.790
Ca 2.280 2.631 0.586
Ca -1.671 0.000 7.140
Ca 1.257 0.000 4.936
Ca 6.255 2.631 0.000
Ca 3.432 2.631 3.863
Ca 5.607 0.000 2.790
Ca 8.535 0.000 0.586
Ca 4.584 2.631 7.140
Ca 7.513 2.631 4.936
Ge -1.747 2.631 5.606
Ge 2.356 0.000 2.120
Ge 4.508 0.000 5.606
Ge 8.612 2.631 2.120
CELL_PARAMETERS angstrom
12.510 0.000 0.000
0.000 5.262 0.000
-5.646 0.000 7.726
```

Record 3
The following is a GGA-PBE calculation of an optimized crystal structure of CaGe, from Alexandria via LeMat-Bulk. Values from VASP.

Calculated values
E_form	37.8	kJ per mole of atoms
density	2.30	g/cm3
total magnetization	0.988	μB/atom

The structure in Quantum ESPRESSO input format:
```
&SYSTEM
  ibrav = 0, nat = 8, ntyp = 2
/
ATOMIC_SPECIES
Ca 40.08 Ca.upf
Ge 72.64 Ge.upf
ATOMIC_POSITIONS angstrom
Ca 0.000 0.000 0.000
Ca 0.000 3.440 3.440
Ca 3.440 0.000 3.440
Ca 3.440 3.440 0.000
Ge 1.720 1.720 5.161
Ge 1.720 5.161 1.720
Ge 5.161 1.720 1.720
Ge 5.161 5.161 5.161
CELL_PARAMETERS angstrom
6.881 0.000 0.000
0.000 6.881 0.000
0.000 0.000 6.881
```